! U2Si3Ir4Pt | Alexandria via LeMat-Bulk | PBE | relaxed; values from VASP
! - crystal system = tetragonal
! - energy relative to the elements, uncorrected (eV per atom) = -0.6984
! - space group = No. 115
! - size of the total moment (μB per atom) = 0.00
&SYSTEM
  ibrav = 0, nat = 10, ntyp = 4
/
ATOMIC_SPECIES
U 238.03 U.upf
Si 28.09 Si.upf
Ir 192.22 Ir.upf
Pt 195.08 Pt.upf
CELL_PARAMETERS angstrom
3.9280 0.0000 0.0000
0.0000 3.9280 0.0000
0.0000 0.0000 11.0204
ATOMIC_POSITIONS crystal
U 0.0000 0.5000 0.2482
U 0.5000 0.0000 0.7518
Si 0.0000 0.0000 0.0000
Si 0.0000 0.5000 0.6208
Si 0.5000 0.0000 0.3792
Ir 0.0000 0.0000 0.5000
Ir 0.0000 0.5000 0.8305
Ir 0.5000 0.0000 0.1695
Ir 0.5000 0.5000 0.5000
Pt 0.5000 0.5000 0.0000

=====

! USi2Ir2Pt | Alexandria via LeMat-Bulk | PBE | relaxed; values from VASP
! - crystal system = tetragonal
! - energy relative to the elements, uncorrected (eV per atom) = -0.0149
! - space group = No. 123
! - size of the total moment (μB per atom) = 0.40
&SYSTEM
  ibrav = 0, nat = 6, ntyp = 4
/
ATOMIC_SPECIES
U 238.03 U.upf
Si 28.09 Si.upf
Ir 192.22 Ir.upf
Pt 195.08 Pt.upf
CELL_PARAMETERS angstrom
4.5152 0.0000 0.0000
0.0000 4.5152 0.0000
0.0000 0.0000 5.4785
ATOMIC_POSITIONS crystal
U 0.0000 0.0000 0.0000
Si 0.0000 0.5000 0.5000
Si 0.5000 0.0000 0.5000
Ir 0.5000 0.5000 0.2405
Ir 0.5000 0.5000 0.7595
Pt 0.0000 0.0000 0.5000

=====

! Y2Si3IrPt4 | Alexandria via LeMat-Bulk | PBE | relaxed; values from VASP
! - crystal system = tetragonal
! - energy relative to the elements, uncorrected (eV per atom) = -0.9055
! - space group = No. 115
! - size of the total moment (μB per atom) = 0.00
&SYSTEM
  ibrav = 0, nat = 10, ntyp = 4
/
ATOMIC_SPECIES
Y 88.91 Y.upf
Si 28.09 Si.upf
Ir 192.22 Ir.upf
Pt 195.08 Pt.upf
CELL_PARAMETERS angstrom
4.0980 0.0000 0.0000
0.0000 4.0980 0.0000
0.0000 0.0000 10.5773
ATOMIC_POSITIONS crystal
Y 0.0000 0.5000 0.2473
Y 0.5000 0.0000 0.7527
Si 0.0000 0.0000 0.0000
Si 0.0000 0.5000 0.6299
Si 0.5000 0.0000 0.3701
Ir 0.5000 0.5000 0.0000
Pt 0.0000 0.0000 0.5000
Pt 0.0000 0.5000 0.8484
Pt 0.5000 0.0000 0.1516
Pt 0.5000 0.5000 0.5000

=====

! Y2Si4Ir3Pt | Alexandria via LeMat-Bulk | PBE | relaxed; values from VASP
! - crystal system = tetragonal
! - energy relative to the elements, uncorrected (eV per atom) = -1.0549
! - space group = No. 115
! - size of the total moment (μB per atom) = 0.00
&SYSTEM
  ibrav = 0, nat = 10, ntyp = 4
/
ATOMIC_SPECIES
Y 88.91 Y.upf
Si 28.09 Si.upf
Ir 192.22 Ir.upf
Pt 195.08 Pt.upf
CELL_PARAMETERS angstrom
4.1142 0.0000 0.0000
0.0000 4.1142 0.0000
0.0000 0.0000 10.0247
ATOMIC_POSITIONS crystal
Y 0.0000 0.5000 0.2413
Y 0.5000 0.0000 0.7587
Si 0.0000 0.0000 0.0000
Si 0.0000 0.5000 0.6374
Si 0.5000 0.0000 0.3626
Si 0.5000 0.5000 0.0000
Ir 0.0000 0.5000 0.8726
Ir 0.5000 0.0000 0.1274
Ir 0.5000 0.5000 0.5000
Pt 0.0000 0.0000 0.5000

=====

! ZnSi2IrPt | Alexandria via LeMat-Bulk | PBE | relaxed; values from VASP
! - excess energy over the best structure of this formula in the dataset (meV/atom) = 326.8
! - crystal system = tetragonal
! - energy relative to the elements, uncorrected (eV per atom) = 1.1961
! - space group = No. 123
! - size of the total moment (μB per atom) = 0.00
&SYSTEM
  ibrav = 0, nat = 5, ntyp = 4
/
ATOMIC_SPECIES
Zn 65.41 Zn.upf
Si 28.09 Si.upf
Ir 192.22 Ir.upf
Pt 195.08 Pt.upf
CELL_PARAMETERS angstrom
4.4016 0.0000 0.0000
0.0000 4.4016 0.0000
0.0000 0.0000 4.6095
ATOMIC_POSITIONS crystal
Zn 0.0000 0.0000 0.0000
Si 0.0000 0.5000 0.0000
Si 0.5000 0.0000 0.0000
Ir 0.5000 0.5000 0.5000
Pt 0.0000 0.0000 0.5000

=====

! ZnSi2IrPt | Alexandria via LeMat-Bulk | PBE | relaxed; values from VASP
! - excess energy over the best structure of this formula in the dataset (meV/atom) = 0.0
! - crystal system = tetragonal
! - energy relative to the elements, uncorrected (eV per atom) = 0.8693
! - space group = No. 123
! - size of the total moment (μB per atom) = 0.13
&SYSTEM
  ibrav = 0, nat = 5, ntyp = 4
/
ATOMIC_SPECIES
Zn 65.41 Zn.upf
Si 28.09 Si.upf
Ir 192.22 Ir.upf
Pt 195.08 Pt.upf
CELL_PARAMETERS angstrom
4.4759 0.0000 0.0000
0.0000 4.4759 0.0000
0.0000 0.0000 5.2429
ATOMIC_POSITIONS crystal
Zn 0.0000 0.0000 0.0000
Si 0.0000 0.5000 0.5000
Si 0.5000 0.0000 0.5000
Ir 0.5000 0.5000 0.0000
Pt 0.5000 0.5000 0.5000

=====

> Which of these has the highest energy relative to the elements, uncorrected?

number 5

=====

> Which value of energy relative to the elements, uncorrected does entry 6 give?

0.8693 eV per atom